VASP calculation (meta-GGA SCAN) on BaTlN2F at its PBEsol-relaxed geometry.

Cell: 5.223 5.223 4.883 Å, 90.00 90.00 90.00°
Space group P4/mmm (No. 123)
Asymmetric unit:
Ba: 0.000 0.000 0.000 (multiplicity 1)
Tl: 0.500 0.500 0.500 (multiplicity 1)
N: 0.000 0.500 0.000 (multiplicity 2)
F: 0.000 0.000 0.500 (multiplicity 1)

The value obtained for the total energy is -26.567 eV per atom. The crystal system is tetragonal. The value obtained for the density of states at the Fermi level is 2.0 states/eV/f.u. As for the magnetic moment: 4.00 μB/f.u.

VASP calculation (meta-GGA SCAN) on BaTlN2F at its PBEsol-relaxed geometry.

Cell: 4.236 4.236 4.765 Å, 90.00 90.00 90.00°
Space group P4/mmm (No. 123)
Asymmetric unit:
Ba: 0.000 0.000 0.000 (multiplicity 1)
Tl: 0.500 0.500 0.500 (multiplicity 1)
N: 0.000 0.500 0.500 (multiplicity 2)
F: 0.500 0.500 0.000 (multiplicity 1)

The value obtained for the total energy is -27.085 eV per atom. The crystal system is tetragonal. The value obtained for the density of states at the Fermi level is 1.2 states/eV/f.u. As for the magnetic moment: 1.36 μB/f.u.

VASP calculation (meta-GGA SCAN) on Ba4Na3Nd3P6O24F2 at its PBEsol-relaxed geometry.

Cell: 9.697 9.733 14.394 Å, 89.93 89.58 60.41°
Space group P1 (No. 1)
Asymmetric unit:
Ba: 0.000 0.000 0.000 (multiplicity 1)
Ba: 0.005 0.013 0.505 (multiplicity 1)
Ba: 0.215 0.514 0.012 (multiplicity 1)
Ba: 0.222 0.756 0.251 (multiplicity 1)
Ba: 0.243 0.752 0.746 (multiplicity 1)
Ba: 0.730 0.045 0.234 (multiplicity 1)
Ba: 0.748 0.794 0.502 (multiplicity 1)
Ba: 0.761 0.015 0.747 (multiplicity 1)
Na: 0.314 0.102 0.111 (multiplicity 1)
Na: 0.317 0.115 0.611 (multiplicity 1)
Na: 0.649 0.458 0.136 (multiplicity 1)
Na: 0.650 0.441 0.638 (multiplicity 1)
Na: 0.964 0.498 0.235 (multiplicity 1)
Na: 0.986 0.510 0.722 (multiplicity 1)
Nd: 0.215 0.543 0.508 (multiplicity 1)
Nd: 0.307 0.119 0.858 (multiplicity 1)
Nd: 0.316 0.105 0.359 (multiplicity 1)
Nd: 0.644 0.446 0.886 (multiplicity 1)
Nd: 0.656 0.440 0.384 (multiplicity 1)
Nd: 0.753 0.774 0.003 (multiplicity 1)
P: 0.009 0.154 0.249 (multiplicity 1)
P: 0.010 0.160 0.753 (multiplicity 1)
P: 0.350 0.376 0.264 (multiplicity 1)
P: 0.361 0.367 0.747 (multiplicity 1)
P: 0.393 0.750 0.997 (multiplicity 1)
P: 0.404 0.736 0.492 (multiplicity 1)
P: 0.574 0.804 0.246 (multiplicity 1)
P: 0.577 0.801 0.760 (multiplicity 1)
P: 0.586 0.191 0.991 (multiplicity 1)
P: 0.596 0.188 0.494 (multiplicity 1)
P: 0.941 0.404 0.991 (multiplicity 1)
P: 0.964 0.388 0.486 (multiplicity 1)
O: 0.015 0.036 0.175 (multiplicity 1)
O: 0.022 0.038 0.680 (multiplicity 1)
O: 0.082 0.054 0.339 (multiplicity 1)
O: 0.089 0.059 0.842 (multiplicity 1)
O: 0.111 0.238 0.728 (multiplicity 1)
O: 0.113 0.228 0.226 (multiplicity 1)
O: 0.118 0.284 0.978 (multiplicity 1)
O: 0.130 0.240 0.479 (multiplicity 1)
O: 0.218 0.489 0.199 (multiplicity 1)
O: 0.251 0.406 0.834 (multiplicity 1)
O: 0.254 0.457 0.663 (multiplicity 1)
O: 0.276 0.387 0.363 (multiplicity 1)
O: 0.303 0.728 0.079 (multiplicity 1)
O: 0.305 0.717 0.571 (multiplicity 1)
O: 0.330 0.928 0.981 (multiplicity 1)
O: 0.345 0.913 0.477 (multiplicity 1)
O: 0.363 0.667 0.913 (multiplicity 1)
O: 0.375 0.654 0.407 (multiplicity 1)
O: 0.390 0.903 0.237 (multiplicity 1)
O: 0.401 0.915 0.733 (multiplicity 1)
O: 0.419 0.200 0.234 (multiplicity 1)
O: 0.438 0.172 0.980 (multiplicity 1)
O: 0.443 0.186 0.733 (multiplicity 1)
O: 0.482 0.122 0.481 (multiplicity 1)
O: 0.482 0.425 0.760 (multiplicity 1)
O: 0.485 0.417 0.266 (multiplicity 1)
O: 0.507 0.369 0.513 (multiplicity 1)
O: 0.534 0.358 0.030 (multiplicity 1)
O: 0.576 0.659 0.010 (multiplicity 1)
O: 0.583 0.642 0.511 (multiplicity 1)
O: 0.598 0.634 0.769 (multiplicity 1)
O: 0.601 0.871 0.853 (multiplicity 1)
O: 0.613 0.880 0.331 (multiplicity 1)
O: 0.629 0.628 0.261 (multiplicity 1)
O: 0.654 0.829 0.159 (multiplicity 1)
O: 0.673 0.181 0.898 (multiplicity 1)
O: 0.696 0.797 0.686 (multiplicity 1)
O: 0.701 0.164 0.406 (multiplicity 1)
O: 0.705 0.052 0.052 (multiplicity 1)
O: 0.712 0.093 0.573 (multiplicity 1)
O: 0.831 0.279 0.262 (multiplicity 1)
O: 0.834 0.281 0.768 (multiplicity 1)
O: 0.843 0.320 0.009 (multiplicity 1)
O: 0.845 0.335 0.520 (multiplicity 1)
O: 0.865 0.515 0.905 (multiplicity 1)
O: 0.894 0.476 0.393 (multiplicity 1)
O: 0.921 0.520 0.071 (multiplicity 1)
O: 0.982 0.506 0.551 (multiplicity 1)
F: 0.010 0.763 0.603 (multiplicity 1)
F: 0.030 0.751 0.411 (multiplicity 1)
F: 0.935 0.803 0.898 (multiplicity 1)
F: 0.964 0.775 0.089 (multiplicity 1)

The value obtained for the total energy is -15.563 eV per atom. The crystal system is triclinic. The value obtained for the density of states at the Fermi level is 0.0 states/eV/f.u. As for the magnetic moment: 0.00 μB/f.u.

VASP calculation (meta-GGA SCAN) on BaNaZr2F11 at its PBEsol-relaxed geometry.

Cell: 8.213 8.213 23.570 Å, 90.00 90.00 90.00°
Space group I4_1/a (No. 88, origin choice 2)
Asymmetric unit:
Ba: 0.000 0.250 0.038 (multiplicity 8)
Na: 0.000 0.250 0.510 (multiplicity 8)
Zr: 0.139 0.035 0.375 (multiplicity 16)
F: 0.000 0.250 0.374 (multiplicity 8)
F: 0.070 0.045 0.576 (multiplicity 16)
F: 0.073 0.039 0.676 (multiplicity 16)
F: 0.112 0.436 0.953 (multiplicity 16)
F: 0.113 0.432 0.799 (multiplicity 16)
F: 0.117 0.441 0.126 (multiplicity 16)

The value obtained for the total energy is -13.566 eV per atom. The crystal system is tetragonal. The value obtained for the density of states at the Fermi level is 0.0 states/eV/f.u. As for the magnetic moment: 0.00 μB/f.u.

VASP calculation (meta-GGA SCAN) on BaNbF2 at its PBEsol-relaxed geometry.

Cell: 3.2797 3.2797 23.7242 Å, 90.00 90.00 120.00°
Space group R-3m (No. 166, hexagonal axes)
Asymmetric unit:
Ba: 0.0000 0.0000 0.0000 (multiplicity 3)
Nb: 0.0000 0.0000 0.5000 (multiplicity 3)
F: 0.0000 0.0000 0.4112 (multiplicity 6)

The value obtained for the total energy is -21.727 eV per atom. The crystal system is trigonal. The value obtained for the density of states at the Fermi level is 2.6 states/eV/f.u. As for the magnetic moment: 1.62 μB/f.u.

VASP calculation (meta-GGA SCAN) on BaNbOF2 at its PBEsol-relaxed geometry.

Cell: 4.796 4.796 5.000 Å, 90.00 90.00 90.00°
Space group P4/mmm (No. 123)
Asymmetric unit:
Ba: 0.000 0.000 0.000 (multiplicity 1)
Nb: 0.500 0.500 0.500 (multiplicity 1)
O: 0.000 0.000 0.500 (multiplicity 1)
F: 0.000 0.500 0.000 (multiplicity 2)

The value obtained for the total energy is -18.393 eV per atom. The crystal system is tetragonal. The value obtained for the density of states at the Fermi level is 2.0 states/eV/f.u. As for the magnetic moment: 3.57 μB/f.u.

VASP calculation (meta-GGA SCAN) on BaNiF6 at its PBEsol-relaxed geometry.

Cell: 7.2968 7.2968 6.9334 Å, 90.00 90.00 120.00°
Space group R-3m (No. 166, hexagonal axes)
Asymmetric unit:
Ba: 0.0000 0.0000 0.0000 (multiplicity 3)
Ni: 0.0000 0.0000 0.5000 (multiplicity 3)
F: 0.1066 0.5533 0.3206 (multiplicity 18)

The value obtained for the total energy is -12.372 eV per atom. The crystal system is trigonal. The value obtained for the density of states at the Fermi level is 0.0 states/eV/f.u. As for the magnetic moment: 0.00 μB/f.u.

VASP calculation (meta-GGA SCAN) on BaPO3F at its PBEsol-relaxed geometry.

Cell: 9.288 8.696 9.158 Å, 90.00 104.69 90.00°
Space group P2_1/c (No. 14)
Asymmetric unit:
Ba: 0.024 0.177 0.189 (multiplicity 4)
Ba: 0.429 0.678 0.790 (multiplicity 4)
P: 0.222 0.571 0.032 (multiplicity 4)
P: 0.277 0.056 0.981 (multiplicity 4)
O: 0.113 0.096 0.916 (multiplicity 4)
O: 0.145 0.688 0.108 (multiplicity 4)
O: 0.164 0.566 0.861 (multiplicity 4)
O: 0.319 0.604 0.443 (multiplicity 4)
O: 0.336 0.102 0.145 (multiplicity 4)
O: 0.391 0.571 0.086 (multiplicity 4)
F: 0.175 0.095 0.586 (multiplicity 4)
F: 0.361 0.174 0.891 (multiplicity 4)

The value obtained for the total energy is -15.170 eV per atom. The crystal system is monoclinic. The value obtained for the density of states at the Fermi level is 0.0 states/eV/f.u. As for the magnetic moment: 0.00 μB/f.u.